(1)
YTaO4 | SCAN | PBEsol geometry

Cell: 6.461 6.461 5.040 Å, 110.38 110.38 115.10°
Atoms (fractional coordinates):
Y: 0.132 0.868 0.750
Y: 0.868 0.132 0.250
Ta: 0.400 0.600 0.250
Ta: 0.600 0.400 0.750
O: 0.131 0.553 0.340
O: 0.227 0.288 0.783
O: 0.288 0.227 0.283
O: 0.447 0.869 0.160
O: 0.553 0.131 0.840
O: 0.712 0.773 0.717
O: 0.773 0.712 0.217
O: 0.869 0.447 0.660

Results
* crystal system: monoclinic
* final energy: -23.461 eV per atom
* calculated density: 7.65 g/cm³
* ΔE_f (raw): -21.42 eV per formula unit
* space group: C2/c, No. 15

***

(2)
Y11Ta5O28 | SCAN | PBEsol geometry

Cell: 7.353 7.348 10.379 Å, 90.00 90.15 90.00°
Atoms (fractional coordinates):
Y: 0.000 0.000 0.000
Y: 0.002 0.500 0.510
Y: 0.247 0.248 0.260
Y: 0.247 0.752 0.260
Y: 0.473 0.000 0.000
Y: 0.482 0.500 0.523
Y: 0.515 0.000 0.490
Y: 0.763 0.243 0.751
Y: 0.763 0.757 0.751
Y: 0.971 0.500 0.022
Y: 0.981 0.000 0.485
Ta: 0.241 0.252 0.759
Ta: 0.241 0.748 0.759
Ta: 0.505 0.500 0.031
Ta: 0.749 0.275 0.270
Ta: 0.749 0.725 0.270
O: 0.023 0.278 0.877
O: 0.023 0.722 0.877
O: 0.044 0.219 0.634
O: 0.044 0.781 0.634
O: 0.240 0.000 0.124
O: 0.242 0.500 0.686
O: 0.247 0.500 0.392
O: 0.251 0.000 0.389
O: 0.253 0.000 0.834
O: 0.258 0.500 0.118
O: 0.399 0.316 0.904
O: 0.399 0.684 0.904
O: 0.450 0.216 0.646
O: 0.450 0.784 0.646
O: 0.532 0.272 0.382
O: 0.532 0.728 0.382
O: 0.533 0.244 0.125
O: 0.533 0.756 0.125
O: 0.709 0.500 0.908
O: 0.720 0.500 0.161
O: 0.732 0.000 0.889
O: 0.742 0.000 0.327
O: 0.748 0.500 0.634
O: 0.751 0.000 0.621
O: 0.940 0.231 0.135
O: 0.940 0.769 0.135
O: 0.967 0.264 0.381
O: 0.967 0.736 0.381

Results
* crystal system: monoclinic
* E above lowest polymorph: 0.002 eV/atom
* final energy: -22.139 eV per atom
* calculated density: 6.90 g/cm³
* ΔE_f (raw): -160.46 eV per formula unit
* space group: Pm, No. 6

***

(3)
Y11Ta5O28 | SCAN | PBEsol geometry

Cell: 12.830 12.830 6.347 Å, 99.41 99.41 32.96°
Atoms (fractional coordinates):
Y: 0.000 0.000 0.000
Y: 0.000 0.500 0.000
Y: 0.123 0.123 0.780
Y: 0.246 0.754 0.500
Y: 0.259 0.259 0.520
Y: 0.374 0.374 0.281
Y: 0.500 0.000 0.000
Y: 0.626 0.626 0.719
Y: 0.741 0.741 0.480
Y: 0.754 0.246 0.500
Y: 0.877 0.877 0.220
Ta: 0.106 0.638 0.743
Ta: 0.362 0.894 0.257
Ta: 0.500 0.500 0.000
Ta: 0.638 0.106 0.743
Ta: 0.894 0.362 0.257
O: 0.015 0.568 0.668
O: 0.027 0.027 0.700
O: 0.096 0.096 0.119
O: 0.125 0.678 0.469
O: 0.130 0.582 0.037
O: 0.215 0.215 0.803
O: 0.254 0.655 0.857
O: 0.285 0.285 0.205
O: 0.322 0.875 0.531
O: 0.345 0.746 0.143
O: 0.357 0.357 0.644
O: 0.418 0.870 0.963
O: 0.432 0.985 0.332
O: 0.466 0.466 0.273
O: 0.534 0.534 0.727
O: 0.568 0.015 0.668
O: 0.582 0.130 0.037
O: 0.643 0.643 0.356
O: 0.655 0.254 0.857
O: 0.678 0.125 0.469
O: 0.715 0.715 0.795
O: 0.746 0.345 0.143
O: 0.785 0.785 0.197
O: 0.870 0.418 0.963
O: 0.875 0.322 0.531
O: 0.904 0.904 0.881
O: 0.973 0.973 0.300
O: 0.985 0.432 0.332

Results
* crystal system: monoclinic
* E above lowest polymorph: 0.000 eV/atom
* final energy: -22.142 eV per atom
* calculated density: 6.91 g/cm³
* ΔE_f (raw): -160.57 eV per formula unit
* space group: C2/m, No. 12

***

(4)
YTaO4 | SCAN | PBEsol geometry

Cell: 5.103 5.421 5.283 Å, 90.00 96.68 90.00°
Atoms (fractional coordinates):
Y: 0.000 0.234 0.250
Y: 0.000 0.766 0.750
Ta: 0.500 0.305 0.750
Ta: 0.500 0.695 0.250
O: 0.250 0.080 0.599
O: 0.250 0.920 0.099
O: 0.267 0.440 0.992
O: 0.267 0.560 0.492
O: 0.733 0.440 0.508
O: 0.733 0.560 0.008
O: 0.750 0.080 0.901
O: 0.750 0.920 0.401

Results
* crystal system: monoclinic
* final energy: -23.463 eV per atom
* calculated density: 7.64 g/cm³
* ΔE_f (raw): -21.43 eV per formula unit
* space group: P2/c, No. 13